# MoOs | Alexandria via LeMat-Bulk | PBE | optimized geometry
# - density of states at the Fermi level (states/eV per atom) = 0.71
# - calculated total energy (eV per atom) = -10.91
data_MoOs
_space_group_name_H-M_alt 'P -3 m 1'
_space_group_IT_number 164
_space_group_name_Hall '-P 3 2"'
_cell_length_a 2.7751
_cell_length_b 2.7751
_cell_length_c 9.0824
_cell_angle_alpha 90.00
_cell_angle_beta 90.00
_cell_angle_gamma 120.00
loop_
_atom_site_label
_atom_site_type_symbol
_atom_site_fract_x
_atom_site_fract_y
_atom_site_fract_z
Mo1 Mo 0.3333 0.6667 0.3636
Os1 Os 0.3333 0.6667 0.8781